Entry 1:
A plane-wave DFT calculation with PBE was carried out for an optimized crystal structure of Ba2BeAl.

Properties
Offset from the most stable computed form: 211.9 meV per atom
Energy relative to the elements: 0.37 eV/atom
Space-group type: Cmm2 (35)

Lattice parameters (Å, degrees): 3.667 3.667 9.701 90.00 90.00 90.16
Element x y z (fractional)
Ba (0.000, 0.000, 0.000)
Ba (0.500, 0.500, 0.407)
Be (0.000, 0.000, 0.654)
Al (0.500, 0.500, 0.746)

=====

Entry 2:
A plane-wave DFT calculation with PBE was carried out for an optimized crystal structure of Ba2BeAl.

Properties
Offset from the most stable computed form: 304.1 meV per atom
Energy relative to the elements: 0.46 eV/atom
Space-group type: I-4m2 (119)

Lattice parameters (Å, degrees): 6.019 6.019 6.019 130.26 130.26 72.98
Element x y z (fractional)
Ba (0.000, 0.000, 0.000)
Ba (0.750, 0.250, 0.500)
Be (0.250, 0.750, 0.500)
Al (0.500, 0.500, 0.000)

=====

Entry 3:
A plane-wave DFT calculation with PBE was carried out for an optimized crystal structure of BaBe2Al.

Properties
Energy relative to the elements: 0.84 eV/atom
Space-group type: C2/m (12)

Lattice parameters (Å, degrees): 4.888 4.888 3.490 90.11 90.11 90.01
Element x y z (fractional)
Ba (0.000, 0.000, 0.000)
Be (0.000, 0.500, 0.500)
Be (0.500, 0.000, 0.500)
Al (0.500, 0.500, 0.000)

=====

Entry 4:
A plane-wave DFT calculation with PBE was carried out for an optimized crystal structure of BaBeAl3.

Properties
Offset from the most stable computed form: 1739.8 meV per atom
Energy relative to the elements: 1.97 eV/atom
Space-group type: Pm-3m (221)

Lattice parameters (Å, degrees): 6.097 6.097 6.097 90.00 90.00 90.00
Element x y z (fractional)
Ba (0.000, 0.000, 0.000)
Be (0.500, 0.500, 0.500)
Al (0.000, 0.000, 0.500)
Al (0.000, 0.500, 0.000)
Al (0.500, 0.000, 0.000)

=====

Entry 5:
A plane-wave DFT calculation with PBE was carried out for an optimized crystal structure of BaBe2Al.

Properties
Energy relative to the elements: 0.26 eV/atom
Space-group type: Pm (6)

Lattice parameters (Å, degrees): 4.249 4.009 5.600 90.00 104.42 90.00
Element x y z (fractional)
Ba (0.000, 0.000, 0.000)
Be (0.285, 0.500, 0.603)
Be (0.399, 0.000, 0.543)
Al (0.721, 0.500, 0.451)

=====

Entry 6:
A plane-wave DFT calculation with PBE was carried out for an optimized crystal structure of Ba2BeAl.

Properties
Offset from the most stable computed form: 486.7 meV per atom
Energy relative to the elements: 0.64 eV/atom
Space-group type: I-42d (122)

Lattice parameters (Å, degrees): 7.274 7.274 7.274 102.56 102.56 124.40
Element x y z (fractional)
Ba (0.079, 0.625, 0.954)
Ba (0.375, 0.329, 0.454)
Ba (0.671, 0.125, 0.046)
Ba (0.875, 0.921, 0.546)
Be (0.000, 0.000, 0.000)
Be (0.750, 0.250, 0.500)
Al (0.250, 0.750, 0.500)
Al (0.500, 0.500, 0.000)

=====

Entry 7:
A plane-wave DFT calculation with PBE was carried out for an optimized crystal structure of BaBeAl3.

Properties
Offset from the most stable computed form: 0.0 meV per atom
Energy relative to the elements: 0.23 eV/atom
Space-group type: Pm-3m (221)

Lattice parameters (Å, degrees): 4.819 4.819 4.819 90.00 90.00 90.00
Element x y z (fractional)
Ba (0.000, 0.000, 0.000)
Be (0.500, 0.500, 0.500)
Al (0.000, 0.500, 0.500)
Al (0.500, 0.000, 0.500)
Al (0.500, 0.500, 0.000)

=====

Entry 8:
A plane-wave DFT calculation with PBE was carried out for an optimized crystal structure of BaBe2Al.

Properties
Energy relative to the elements: 0.47 eV/atom
Space-group type: P4/mmm (123)

Lattice parameters (Å, degrees): 3.278 3.278 7.227 90.00 90.00 90.00
Element x y z (fractional)
Ba (0.000, 0.000, 0.000)
Be (0.500, 0.500, 0.343)
Be (0.500, 0.500, 0.657)
Al (0.000, 0.000, 0.500)

=====

Entry 9:
A plane-wave DFT calculation with PBE was carried out for an optimized crystal structure of Ba4BeAl.

Properties
Energy relative to the elements: 0.88 eV/atom
Space-group type: F-43m (216)

Lattice parameters (Å, degrees): 7.157 7.157 7.157 60.00 60.00 60.00
Element x y z (fractional)
Ba (0.125, 0.125, 0.125)
Ba (0.125, 0.125, 0.624)
Ba (0.125, 0.624, 0.125)
Ba (0.624, 0.125, 0.125)
Be (0.750, 0.750, 0.750)
Al (0.500, 0.500, 0.500)

=====

Entry 10:
A plane-wave DFT calculation with PBE was carried out for an optimized crystal structure of BaBe3Al.

Properties
Offset from the most stable computed form: 1558.0 meV per atom
Energy relative to the elements: 2.23 eV/atom
Space-group type: Pm-3m (221)

Lattice parameters (Å, degrees): 5.461 5.461 5.461 90.00 90.00 90.00
Element x y z (fractional)
Ba (0.000, 0.000, 0.000)
Be (0.000, 0.000, 0.500)
Be (0.000, 0.500, 0.000)
Be (0.500, 0.000, 0.000)
Al (0.500, 0.500, 0.500)

=====

Entry 11:
A plane-wave DFT calculation with PBE was carried out for an optimized crystal structure of Ba2BeAl.

Properties
Offset from the most stable computed form: 158.0 meV per atom
Energy relative to the elements: 0.32 eV/atom
Space-group type: Cmmm (65)

Lattice parameters (Å, degrees): 5.757 5.757 4.075 90.00 90.00 90.16
Element x y z (fractional)
Ba (0.000, 0.500, 0.000)
Ba (0.500, 0.000, 0.000)
Be (0.000, 0.000, 0.500)
Al (0.500, 0.500, 0.500)

=====

Entry 12:
A plane-wave DFT calculation with PBE was carried out for an optimized crystal structure of BaBeAl2.

Properties
Energy relative to the elements: 0.70 eV/atom
Space-group type: Cmmm (65)

Lattice parameters (Å, degrees): 6.011 6.011 3.054 90.00 90.00 120.48
Element x y z (fractional)
Ba (0.000, 0.000, 0.000)
Be (0.500, 0.500, 0.000)
Al (0.000, 0.500, 0.500)
Al (0.500, 0.000, 0.500)

=====

Taking the records one at a time from the top gives total magnetization values of 0.001; 0.000; 0.000; 0.000; 0.000; 0.000; 0.000; 0.000; 0.000; 0.000; 0.000; 0.000 Bohr magnetons per cell.
Taking the records one at a time from the top gives DFT total energy values of -2.459; -2.367; -2.440; -1.405; -3.020; -2.184; -3.145; -2.813; -1.646; -1.135; -2.513; -2.581 eV per atom.